(1)
Entry from the Alexandria database: crystalline Zr6C2Se3N at its relaxed geometry (PBE).

The magnetic moment is 0.0 μB/f.u. As for the formation energy without anion corrections: -1.22 eV per atom. The density of states at the Fermi level is 0.539 states/eV/atom. The theoretical density is 6.8 g/cm³.

It has space group C2/m (No. 12), with a = 6.0566 Å, b = 10.4915 Å, c = 6.6285 Å, α = 90.00°, β = 107.73° and γ = 90.00°. The asymmetric unit holds Zr at (0.2280, 0.0000, 0.1857), Zr at (0.2285, 0.3332, 0.1848), C at (0.0000, 0.1664, 0.0000), Se at (0.0000, 0.0000, 0.5000), Se at (0.0000, 0.3320, 0.5000) and N at (0.0000, 0.5000, 0.0000).



(2)
Entry from the Alexandria database: crystalline SiCN at its relaxed geometry (PBE).

The magnetic moment is 0.0 μB/f.u. As for the formation energy without anion corrections: 0.27 eV per atom. The density of states at the Fermi level is 0.119 states/eV/atom. The theoretical density is 3.4 g/cm³.

It has space group Amm2 (No. 38), with a = 2.9731 Å, b = 2.3784 Å, c = 7.4091 Å, α = 90.00°, β = 90.00° and γ = 90.00°. The asymmetric unit holds Si at (0.0000, 0.0000, 0.0000), C at (0.5000, 0.0000, 0.1886) and N at (0.5000, 0.0000, 0.7966).



(3)
Entry from the Alexandria database: crystalline SiCN2 at its relaxed geometry (PBE).

The magnetic moment is 0.0 μB/f.u. As for the formation energy without anion corrections: 2.47 eV per atom. The density of states at the Fermi level is 0.256 states/eV/atom. The theoretical density is 3.6 g/cm³.

It has space group Fm-3m (No. 225), with a = 4.9964 Å, b = 4.9964 Å, c = 4.9964 Å, α = 90.00°, β = 90.00° and γ = 90.00°. The asymmetric unit holds Si at (0.0000, 0.0000, 0.0000), C at (0.0000, 0.0000, 0.5000) and N at (0.2500, 0.2500, 0.2500).



(4)
Entry from the Alexandria database: crystalline SiCN at its relaxed geometry (PBE).

The magnetic moment is 0.0 μB/f.u. As for the formation energy without anion corrections: 0.32 eV per atom. The density of states at the Fermi level is 0.322 states/eV/atom. The theoretical density is 2.8 g/cm³.

It has space group Pmm2 (No. 25), with a = 2.8640 Å, b = 2.9411 Å, c = 3.7597 Å, α = 90.00°, β = 90.00° and γ = 90.00°. The asymmetric unit holds Si at (0.0000, 0.0000, 0.0000), C at (0.5000, 0.0000, 0.6702) and N at (0.5000, 0.0000, 0.3257).



Copy entry 4 word for word.
Entry from the Alexandria database: crystalline SiCN at its relaxed geometry (PBE).

The magnetic moment is 0.0 μB/f.u. As for the formation energy without anion corrections: 0.32 eV per atom. The density of states at the Fermi level is 0.322 states/eV/atom. The theoretical density is 2.8 g/cm³.

It has space group Pmm2 (No. 25), with a = 2.8640 Å, b = 2.9411 Å, c = 3.7597 Å, α = 90.00°, β = 90.00° and γ = 90.00°. The asymmetric unit holds Si at (0.0000, 0.0000, 0.0000), C at (0.5000, 0.0000, 0.6702) and N at (0.5000, 0.0000, 0.3257).